## Tm2Si4Ni3Rh (GGA-PBE)

Data for a relaxed Tm2Si4Ni3Rh crystal.

Unit cell a=3.929 b=3.929 c=9.695 alpha=90.00 beta=90.00 gamma=90.00
Sites, in units of the cell vectors:
Tm 0.000 0.500 0.242
Tm 0.500 0.000 0.758
Si 0.000 0.000 0.000
Si 0.000 0.500 0.640
Si 0.500 0.000 0.360
Si 0.500 0.500 0.000
Ni 0.000 0.500 0.875
Ni 0.500 0.000 0.125
Ni 0.500 0.500 0.500
Rh 0.000 0.000 0.500

The formation energy without anion corrections comes out at -905 meV per atom. As for the density of states at the Fermi level: 0.46 states/eV/atom. The raw total energy is -64.38 eV per cell. Its space group is P-4m2, No. 115.

---

## NdHg4Pb (GGA-PBE)

Data for a relaxed NdHg4Pb crystal.

Unit cell a=6.184 b=6.184 c=6.688 alpha=122.42 beta=122.42 gamma=48.97
Sites, in units of the cell vectors:
Nd 0.000 0.000 0.000
Hg 0.334 0.334 0.075
Hg 0.334 0.334 0.591
Hg 0.666 0.666 0.409
Hg 0.666 0.666 0.925
Pb 0.000 0.000 0.500

The distance to the lowest polymorph of the same formula is 0.000 eV/atom. The formation energy is -1.51 eV per formula unit. As for the density of states at the Fermi level: 0.47 states/eV/atom. The raw total energy is -11.20 eV per cell. Its space group is C2/m, No. 12.

---

## RbSiPt (GGA-PBE)

Data for a relaxed RbSiPt crystal.

Unit cell a=4.065 b=4.065 c=5.823 alpha=90.00 beta=90.00 gamma=120.00
Sites, in units of the cell vectors:
Rb 0.000 0.000 0.000
Si 0.333 0.667 0.500
Pt 0.667 0.333 0.500

The distance to the lowest polymorph of the same formula is 0.141 eV/atom. The formation energy without anion corrections comes out at -362 meV per atom. As for the density of states at the Fermi level: 1.01 states/eV/atom. The raw total energy is -13.52 eV per cell. Its space group is P-6m2, No. 187.

---

## Ho2Ag13 (GGA-PBE)

Data for a relaxed Ho2Ag13 crystal.

Unit cell a=7.829 b=7.829 c=7.829 alpha=56.44 beta=56.44 gamma=56.44
Sites, in units of the cell vectors:
Ho 0.166 0.166 0.166
Ho 0.834 0.834 0.834
Ag 0.000 0.000 0.000
Ag 0.164 0.164 0.548
Ag 0.164 0.548 0.164
Ag 0.307 0.690 0.690
Ag 0.310 0.310 0.693
Ag 0.310 0.693 0.310
Ag 0.452 0.836 0.836
Ag 0.548 0.164 0.164
Ag 0.690 0.307 0.690
Ag 0.690 0.690 0.307
Ag 0.693 0.310 0.310
Ag 0.836 0.452 0.836
Ag 0.836 0.836 0.452

The formation energy is 0.69 eV per formula unit. As for the density of states at the Fermi level: 0.30 states/eV/atom. The raw total energy is -45.54 eV per cell. Its space group is R-3m, No. 166.

---

## K3Tl3PbO8 (GGA-PBE)

Data for a relaxed K3Tl3PbO8 crystal.

Unit cell a=6.906 b=6.906 c=7.489 alpha=117.46 beta=117.46 gamma=59.95
Sites, in units of the cell vectors:
K 0.000 0.000 0.000
K 0.000 0.500 0.000
K 0.500 0.000 0.000
Tl 0.000 0.500 0.500
Tl 0.500 0.000 0.500
Tl 0.500 0.500 0.500
Pb 0.000 0.000 0.500
O 0.222 0.222 0.687
O 0.222 0.744 0.687
O 0.256 0.778 0.313
O 0.270 0.270 0.310
O 0.730 0.730 0.690
O 0.744 0.222 0.687
O 0.778 0.256 0.313
O 0.778 0.778 0.313

The formation energy without anion corrections comes out at -1035 meV per atom. The raw total energy is -69.29 eV per cell. Its space group is C2/m, No. 12.

---

## Sr3PuTh2As6 (GGA-PBE)

Data for a relaxed Sr3PuTh2As6 crystal.

Unit cell a=7.519 b=7.519 c=7.607 alpha=99.49 beta=99.49 gamma=119.99
Sites, in units of the cell vectors:
Sr 0.000 0.000 0.000
Sr 0.332 0.668 0.000
Sr 0.668 0.332 0.000
Pu 0.500 0.500 0.500
Th 0.166 0.834 0.500
Th 0.834 0.166 0.500
As 0.098 0.426 0.277
As 0.247 0.247 0.723
As 0.426 0.098 0.277
As 0.574 0.902 0.723
As 0.753 0.753 0.277
As 0.902 0.574 0.723

The formation energy is -14.79 eV per formula unit. As for the density of states at the Fermi level: 1.18 states/eV/atom. The raw total energy is -76.90 eV per cell. Its space group is C2/m, No. 12.

---

## HfCd2Pb (GGA-PBE)

Data for a relaxed HfCd2Pb crystal.

Unit cell a=11.626 b=11.626 c=11.626 alpha=16.03 beta=16.03 gamma=16.03
Sites, in units of the cell vectors:
Hf 0.000 0.000 0.000
Cd 0.085 0.085 0.085
Cd 0.915 0.915 0.915
Pb 0.500 0.500 0.500

The formation energy is 1.54 eV per formula unit. As for the density of states at the Fermi level: 0.70 states/eV/atom. The raw total energy is -13.95 eV per cell. Its space group is R-3m, No. 166.

---

## PrDySi2 (GGA-PBE)

Data for a relaxed PrDySi2 crystal.

Unit cell a=3.901 b=5.840 c=5.840 alpha=44.26 beta=90.00 gamma=90.00
Sites, in units of the cell vectors:
Pr 0.000 0.000 0.000
Dy 0.500 0.280 0.280
Si 0.000 0.717 0.717
Si 0.500 0.571 0.571

The formation energy without anion corrections comes out at -764 meV per atom. As for the density of states at the Fermi level: 0.78 states/eV/atom. The raw total energy is -23.28 eV per cell. Its space group is Amm2, No. 38.

---

## NaRuSeO5 (GGA-PBE)

Data for a relaxed NaRuSeO5 crystal.

Unit cell a=5.584 b=5.584 c=7.587 alpha=107.12 beta=107.12 gamma=100.73
Sites, in units of the cell vectors:
Na 0.070 0.930 0.750
Na 0.930 0.070 0.250
Ru 0.000 0.500 0.000
Ru 0.500 0.000 0.500
Se 0.453 0.547 0.750
Se 0.547 0.453 0.250
O 0.202 0.252 0.059
O 0.247 0.753 0.250
O 0.252 0.202 0.559
O 0.252 0.637 0.882
O 0.363 0.748 0.618
O 0.637 0.252 0.382
O 0.748 0.363 0.118
O 0.748 0.798 0.441
O 0.753 0.247 0.750
O 0.798 0.748 0.941

The formation energy without anion corrections comes out at -920 meV per atom. As for the density of states at the Fermi level: 0.36 states/eV/atom. The raw total energy is -92.46 eV per cell. Its space group is C2/c, No. 15.

---

## Tl2AsOs (GGA-PBE)

Data for a relaxed Tl2AsOs crystal.

Unit cell a=5.384 b=5.384 c=6.406 alpha=113.12 beta=113.12 gamma=34.81
Sites, in units of the cell vectors:
Tl 0.000 0.000 0.000
Tl 0.164 0.164 0.627
As 0.828 0.828 0.273
Os 0.418 0.418 0.578

The distance to the lowest polymorph of the same formula is 0.133 eV/atom. The formation energy is 1.57 eV per formula unit. As for the density of states at the Fermi level: 0.71 states/eV/atom. The raw total energy is -19.05 eV per cell. Its space group is Cm, No. 8.

---

## CaCr3Tc (GGA-PBE)

Data for a relaxed CaCr3Tc crystal.

Unit cell a=4.735 b=4.735 c=4.735 alpha=90.00 beta=90.00 gamma=90.00
Sites, in units of the cell vectors:
Ca 0.000 0.000 0.000
Cr 0.000 0.500 0.500
Cr 0.500 0.000 0.500
Cr 0.500 0.500 0.000
Tc 0.500 0.500 0.500

The distance to the lowest polymorph of the same formula is 0.000 eV/atom. The formation energy is 4.50 eV per formula unit. As for the density of states at the Fermi level: 0.92 states/eV/atom. The raw total energy is -36.73 eV per cell. Its space group is Pm-3m, No. 221.

---

## CuNi5Ge4 (GGA-PBE)

Data for a relaxed CuNi5Ge4 crystal.

Unit cell a=7.760 b=8.434 c=4.158 alpha=90.00 beta=90.00 gamma=90.00
Sites, in units of the cell vectors:
Cu 0.250 0.250 0.165
Cu 0.750 0.750 0.835
Ni 0.087 0.004 0.259
Ni 0.087 0.496 0.259
Ni 0.250 0.750 0.042
Ni 0.413 0.004 0.259
Ni 0.413 0.496 0.259
Ni 0.587 0.504 0.741
Ni 0.587 0.996 0.741
Ni 0.750 0.250 0.958
Ni 0.913 0.504 0.741
Ni 0.913 0.996 0.741
Ge 0.059 0.750 0.552
Ge 0.250 0.017 0.769
Ge 0.250 0.483 0.769
Ge 0.441 0.750 0.552
Ge 0.559 0.250 0.448
Ge 0.750 0.517 0.231
Ge 0.750 0.983 0.231
Ge 0.941 0.250 0.448

The formation energy is -1.12 eV per formula unit. As for the density of states at the Fermi level: 0.56 states/eV/atom. The raw total energy is -105.19 eV per cell. Its space group is Pmmn, No. 59.

---

## Pr2CoNi3Pt12 (GGA-PBE)

Data for a relaxed Pr2CoNi3Pt12 crystal.

Unit cell a=9.344 b=9.344 c=9.344 alpha=42.38 beta=42.38 gamma=42.38
Sites, in units of the cell vectors:
Pr 0.158 0.158 0.158
Pr 0.842 0.842 0.842
Co 0.500 0.500 0.500
Ni 0.000 0.500 0.500
Ni 0.500 0.000 0.500
Ni 0.500 0.500 0.000
Pt 0.087 0.087 0.684
Pt 0.087 0.684 0.087
Pt 0.151 0.571 0.571
Pt 0.316 0.913 0.913
Pt 0.429 0.429 0.849
Pt 0.429 0.849 0.429
Pt 0.571 0.151 0.571
Pt 0.571 0.571 0.151
Pt 0.684 0.087 0.087
Pt 0.849 0.429 0.429
Pt 0.913 0.316 0.913
Pt 0.913 0.913 0.316

The formation energy is -1.42 eV per formula unit. As for the density of states at the Fermi level: 1.08 states/eV/atom. The raw total energy is -107.92 eV per cell. Its space group is R-3m, No. 166.

---

## NdEuAs (GGA-PBE)

Data for a relaxed NdEuAs crystal.

Unit cell a=5.043 b=5.043 c=5.043 alpha=60.00 beta=60.00 gamma=60.00
Sites, in units of the cell vectors:
Nd 0.000 0.000 0.000
Eu 0.500 0.500 0.500
As 0.750 0.750 0.750

The distance to the lowest polymorph of the same formula is 0.009 eV/atom. The formation energy is -2.46 eV per formula unit. As for the density of states at the Fermi level: 0.71 states/eV/atom. The raw total energy is -22.16 eV per cell. Its space group is F-43m, No. 216.

---

## NaPmSi2Pt2 (GGA-PBE)

Data for a relaxed NaPmSi2Pt2 crystal.

Unit cell a=4.122 b=4.122 c=8.652 alpha=90.00 beta=90.00 gamma=120.00
Sites, in units of the cell vectors:
Na 0.000 0.000 0.000
Pm 0.000 0.000 0.500
Si 0.333 0.667 0.750
Si 0.667 0.333 0.250
Pt 0.333 0.667 0.261
Pt 0.667 0.333 0.739

The formation energy without anion corrections comes out at -763 meV per atom. As for the density of states at the Fermi level: 0.38 states/eV/atom. The raw total energy is -33.57 eV per cell. Its space group is P-3m1, No. 164.

---

## Ba2TaNb3O12 (GGA-PBE)

Data for a relaxed Ba2TaNb3O12 crystal.

Unit cell a=7.495 b=7.495 c=7.495 alpha=60.30 beta=60.30 gamma=60.30
Sites, in units of the cell vectors:
Ba 0.181 0.181 0.181
Ba 0.819 0.819 0.819
Ta 0.500 0.500 0.500
Nb 0.000 0.500 0.500
Nb 0.500 0.000 0.500
Nb 0.500 0.500 0.000
O 0.185 0.185 0.551
O 0.185 0.551 0.185
O 0.185 0.566 0.566
O 0.434 0.434 0.815
O 0.434 0.815 0.434
O 0.449 0.815 0.815
O 0.551 0.185 0.185
O 0.566 0.185 0.566
O 0.566 0.566 0.185
O 0.815 0.434 0.434
O 0.815 0.449 0.815
O 0.815 0.815 0.449

The formation energy without anion corrections comes out at -2726 meV per atom. As for the density of states at the Fermi level: 0.00 states/eV/atom. The raw total energy is -154.47 eV per cell. Its space group is R-3m, No. 166.

---

## CeEr2Mg9 (GGA-PBE)

Data for a relaxed CeEr2Mg9 crystal.

Unit cell a=10.363 b=10.363 c=10.363 alpha=33.78 beta=33.78 gamma=33.78
Sites, in units of the cell vectors:
Ce 0.000 0.000 0.000
Er 0.145 0.145 0.145
Er 0.855 0.855 0.855
Mg 0.080 0.587 0.587
Mg 0.334 0.334 0.334
Mg 0.413 0.413 0.920
Mg 0.413 0.920 0.413
Mg 0.500 0.500 0.500
Mg 0.587 0.080 0.587
Mg 0.587 0.587 0.080
Mg 0.666 0.666 0.666
Mg 0.920 0.413 0.413

The formation energy is -0.13 eV per formula unit. As for the density of states at the Fermi level: 1.43 states/eV/atom. The raw total energy is -29.54 eV per cell. Its space group is R-3m, No. 166.

---

## HgAs2Pb (GGA-PBE)

Data for a relaxed HgAs2Pb crystal.

Unit cell a=6.159 b=6.159 c=6.159 alpha=145.53 beta=127.45 gamma=64.37
Sites, in units of the cell vectors:
Hg 0.000 0.000 0.000
As 0.588 0.588 0.000
As 0.754 0.254 0.500
Pb 0.268 0.768 0.500

The distance to the lowest polymorph of the same formula is 0.045 eV/atom. The formation energy is 0.38 eV per formula unit. As for the density of states at the Fermi level: 0.32 states/eV/atom. The raw total energy is -12.92 eV per cell. Its space group is Imm2, No. 44.

---

## SnPd (GGA-PBE)

Data for a relaxed SnPd crystal.

Unit cell a=6.223 b=3.926 c=6.519 alpha=90.00 beta=90.00 gamma=90.00
Sites, in units of the cell vectors:
Sn 0.191 0.250 0.091
Sn 0.309 0.750 0.591
Sn 0.691 0.250 0.409
Sn 0.809 0.750 0.909
Pd 0.009 0.250 0.689
Pd 0.491 0.750 0.189
Pd 0.509 0.250 0.811
Pd 0.991 0.750 0.311

The formation energy is -1.06 eV per formula unit. As for the density of states at the Fermi level: 0.25 states/eV/atom. The raw total energy is -41.03 eV per cell. Its space group is Pnma, No. 62.

---

## PmSm3Ho6Th2 (GGA-PBE)

Data for a relaxed PmSm3Ho6Th2 crystal.

Unit cell a=6.202 b=6.202 c=11.736 alpha=95.07 beta=95.07 gamma=119.97
Sites, in units of the cell vectors:
Pm 0.000 0.000 0.000
Sm 0.166 0.834 0.500
Sm 0.500 0.500 0.500
Sm 0.834 0.166 0.500
Ho 0.082 0.420 0.246
Ho 0.256 0.256 0.753
Ho 0.420 0.082 0.246
Ho 0.580 0.918 0.754
Ho 0.744 0.744 0.247
Ho 0.918 0.580 0.754
Th 0.333 0.667 0.000
Th 0.667 0.333 0.000

The formation energy is 0.29 eV per formula unit. As for the density of states at the Fermi level: 1.30 states/eV/atom. The raw total energy is -60.93 eV per cell. Its space group is C2/m, No. 12.